VASP calculation (GGA-PBE) on an optimized crystal structure of ZnIn2B.

ΔH_f (0 K) in eV/atom: 0.66
Density of states at the Fermi level in states/eV/cell: 4.19
E above lowest polymorph in eV per atom: 0.000

Unit cell a=6.0694 b=6.0694 c=6.8690 alpha=63.78 beta=63.78 gamma=90.00
Positions (direct):
Zn (0.7500, 0.2500, 0.5000)
In (0.3750, 0.4652, 0.7500)
B (0.5000, 0.5000, 0.0000)
Zn (0.0000, 0.0000, 0.0000)
B (0.2500, 0.7500, 0.5000)
In (0.5348, 0.1250, 0.2500)
In (0.2152, 0.6250, 0.2500)
In (0.8750, 0.7848, 0.7500)

---

VASP calculation (GGA-PBE) on an optimized crystal structure of Zn2InB.

ΔH_f (0 K) in eV/atom: 0.92
Density of states at the Fermi level in states/eV/cell: 1.21
E above lowest polymorph in eV per atom: 0.358

Unit cell a=4.5385 b=4.5385 c=4.5385 alpha=60.00 beta=60.00 gamma=60.00
Positions (direct):
B (0.0000, 0.0000, 0.0000)
In (0.5000, 0.5000, 0.5000)
Zn (0.7500, 0.7500, 0.7500)
Zn (0.2500, 0.2500, 0.2500)

---

VASP calculation (GGA-PBE) on an optimized crystal structure of ZnInB2.

ΔH_f (0 K) in eV/atom: 0.89
Density of states at the Fermi level in states/eV/cell: 2.77
E above lowest polymorph in eV per atom: 0.000

Unit cell a=3.9115 b=3.9115 c=7.7173 alpha=75.32 beta=75.32 gamma=90.00
Positions (direct):
Zn (0.5000, 0.5000, 0.0000)
In (0.7500, 0.2500, 0.5000)
B (0.3750, 0.5266, 0.7500)
Zn (0.2500, 0.7500, 0.5000)
B (0.2766, 0.6250, 0.2500)
In (0.0000, 0.0000, 0.0000)
B (0.8750, 0.7234, 0.7500)
B (0.4734, 0.1250, 0.2500)

---

VASP calculation (GGA-PBE) on an optimized crystal structure of ZnInB3.

ΔH_f (0 K) in eV/atom: 1.77
Density of states at the Fermi level in states/eV/cell: 1.48
E above lowest polymorph in eV per atom: 0.000

Unit cell a=4.1734 b=4.1734 c=4.1734 alpha=90.00 beta=90.00 gamma=90.00
Positions (direct):
In (0.5000, 0.5000, 0.5000)
B (0.0000, 0.0000, 0.5000)
B (0.0000, 0.5000, 0.0000)
Zn (0.0000, 0.0000, 0.0000)
B (0.5000, 0.0000, 0.0000)

---

VASP calculation (GGA-PBE) on an optimized crystal structure of Zn4InB2.

ΔH_f (0 K) in eV/atom: 0.77
Density of states at the Fermi level in states/eV/cell: 2.78

Unit cell a=5.2200 b=5.2200 c=6.4889 alpha=66.28 beta=66.28 gamma=90.00
Positions (direct):
In (0.0000, 0.0000, 0.0000)
Zn (0.2400, 0.2400, 0.5200)
B (0.5727, 0.5727, 0.8546)
Zn (0.0000, 0.5000, 0.0000)
B (0.4273, 0.4273, 0.1454)
Zn (0.7600, 0.7600, 0.4800)
Zn (0.5000, 0.0000, 0.0000)

---

VASP calculation (GGA-PBE) on an optimized crystal structure of ZnInB2.

ΔH_f (0 K) in eV/atom: 1.39
Density of states at the Fermi level in states/eV/cell: 2.22
E above lowest polymorph in eV per atom: 0.508

Unit cell a=4.2712 b=4.2712 c=4.2712 alpha=60.00 beta=60.00 gamma=60.00
Positions (direct):
In (0.5000, 0.5000, 0.5000)
Zn (0.0000, 0.0000, 0.0000)
B (0.2500, 0.2500, 0.2500)
B (0.7500, 0.7500, 0.7500)